A plane-wave DFT calculation with PBE was carried out for a relaxed structure of BaAlPb2.

a b c (Å): 6.807 6.807 3.619
angles (deg): 76.67 76.67 119.12
Element x y z (fractional)
Pb 0.000 0.000 0.000
Pb 0.500 0.500 0.000
Ba 0.000 0.500 0.500
Al 0.500 0.000 0.500

Calculated total energy, eV/atom: -3.246
DOS at the Fermi energy, states/eV/cell: 2.65
Formation energy from the elements, eV/atom: 0.024
Space group: C2/m
Mass density, kg/m³: 7366
Total magnetic moment, μB/atom: 0.000

***

A plane-wave DFT calculation with PBE was carried out for a relaxed structure of MgCd2Ga2Pd5.

a b c (Å): 3.765 9.508 9.508
angles (deg): 90.00 90.00 90.00
Element x y z (fractional)
Mg 0.000 0.000 0.000
Mg 0.000 0.500 0.500
Cd 0.000 0.672 0.172
Cd 0.000 0.328 0.828
Cd 0.000 0.172 0.328
Cd 0.000 0.828 0.672
Ga 0.000 0.127 0.627
Ga 0.000 0.873 0.373
Ga 0.000 0.627 0.873
Ga 0.000 0.373 0.127
Pd 0.500 0.200 0.077
Pd 0.500 0.800 0.923
Pd 0.500 0.077 0.800
Pd 0.500 0.700 0.423
Pd 0.500 0.923 0.200
Pd 0.500 0.300 0.577
Pd 0.500 0.577 0.700
Pd 0.500 0.423 0.300
Pd 0.500 0.500 0.000
Pd 0.500 0.000 0.500

Calculated total energy, eV/atom: -4.015
DOS at the Fermi energy, states/eV/cell: 5.82
Formation energy from the elements, eV/atom: -0.471
Space group: P4/mbm
Mass density, kg/m³: 8982
Total magnetic moment, μB/atom: 0.000